[1]
# P3BrF

A geometry-optimized P3BrF structure (PBE-GGA, Alexandria).

## Properties
crystal system	cubic
E_form (uncorrected)	1.090	eV per atom
total energy	-14.322	eV for the cell shown

Cell lengths 4.522, 4.522, 4.522 Å; angles 90.00, 90.00, 90.00 degrees
Space group Pm-3m (No. 221)
Inequivalent atoms, fractional coordinates:
1 P 0.000 0.000 0.500 (multiplicity 3)
2 Br 0.500 0.500 0.500 (multiplicity 1)
3 F 0.000 0.000 0.000 (multiplicity 1)

---

[2]
# PBrF

A geometry-optimized PBrF structure (PBE-GGA, Alexandria).

## Properties
crystal system	triclinic
E_form (uncorrected)	-1.113	eV per atom
total energy	-24.586	eV for the cell shown

Cell lengths 5.291, 5.484, 7.000 Å; angles 79.35, 68.13, 85.64 degrees
Space group P1 (No. 1)
Inequivalent atoms, fractional coordinates:
1 P 0.000 0.000 0.000 (multiplicity 1)
2 P 0.033 0.578 0.001 (multiplicity 1)
3 Br 0.157 0.514 0.280 (multiplicity 1)
4 Br 0.429 0.624 0.726 (multiplicity 1)
5 F 0.707 0.997 0.188 (multiplicity 1)
6 F 0.896 0.073 0.807 (multiplicity 1)

---

[3]
# PBrF

A geometry-optimized PBrF structure (PBE-GGA, Alexandria).

## Properties
crystal system	triclinic
E_form (uncorrected)	-0.896	eV per atom
total energy	-11.642	eV for the cell shown

Cell lengths 3.246, 4.927, 5.962 Å; angles 106.35, 105.56, 90.18 degrees
Space group P1 (No. 1)
Inequivalent atoms, fractional coordinates:
1 P 0.000 0.000 0.000 (multiplicity 1)
2 Br 0.198 0.155 0.400 (multiplicity 1)
3 F 0.977 0.658 0.954 (multiplicity 1)

---

[4]
# P2BrF

A geometry-optimized P2BrF structure (PBE-GGA, Alexandria).

## Properties
crystal system	cubic
E_form (uncorrected)	0.644	eV per atom
total energy	-47.156	eV for the cell shown

Cell lengths 6.380, 6.380, 6.380 Å; angles 90.00, 90.00, 90.00 degrees
Space group Fm-3m (No. 225)
Inequivalent atoms, fractional coordinates:
1 P 0.250 0.250 0.250 (multiplicity 8)
2 Br 0.000 0.000 0.000 (multiplicity 4)
3 F 0.000 0.000 0.500 (multiplicity 4)

---

[5]
# PPbBr2F

A geometry-optimized PPbBr2F structure (PBE-GGA, Alexandria).

## Properties
crystal system	triclinic
E_form (uncorrected)	-0.767	eV per atom
total energy	-18.168	eV for the cell shown

Cell lengths 4.214, 5.752, 7.145 Å; angles 66.68, 74.19, 89.96 degrees
Space group P1 (No. 1)
Inequivalent atoms, fractional coordinates:
1 P 0.000 0.000 0.000 (multiplicity 1)
2 Pb 0.139 0.567 0.864 (multiplicity 1)
3 Br 0.535 0.860 0.287 (multiplicity 1)
4 Br 0.801 0.146 0.703 (multiplicity 1)
5 F 0.564 0.489 0.022 (multiplicity 1)

---

[6]
# PPbBr2F

A geometry-optimized PPbBr2F structure (PBE-GGA, Alexandria).

## Properties
crystal system	triclinic
E_form (uncorrected)	-0.721	eV per atom
total energy	-17.939	eV for the cell shown

Cell lengths 4.790, 5.644, 5.761 Å; angles 99.45, 94.83, 98.29 degrees
Space group P1 (No. 1)
Inequivalent atoms, fractional coordinates:
1 P 0.000 0.000 0.000 (multiplicity 1)
2 Pb 0.165 0.760 0.573 (multiplicity 1)
3 Br 0.373 0.175 0.302 (multiplicity 1)
4 Br 0.900 0.351 0.885 (multiplicity 1)
5 F 0.648 0.773 0.667 (multiplicity 1)

---

Values for spin magnetization, μB/f.u., ordered as above
0.0; 0.0; 0.0; 0.0; 0.0; 0.0
Values for excess energy over the best structure of this formula in the dataset, eV/f.u., ordered as above
0.00; 0.00; 0.65; 2.37; 0.44; 0.67
Values for density, g/cm³, ordered as above
3.45; 2.33; 2.46; 4.11; 4.56; 4.58